Model w:
Compound: MnV2H
Source: the Alexandria database
Functional: PBE
Structure: relaxed

The mass density is 6.1 g/cm³. Its density of states at the Fermi level is 0.851 states/eV per atom. The total magnetization comes out at 0.000 μB per formula unit.

The structure belongs to space group Fm-3m (No. 225); the cell edges are 5.565, 5.565 and 5.565 Å and the angles 90.00°, 90.00° and 90.00°. The asymmetric unit holds Mn at (0.000, 0.000, 0.000), V at (0.250, 0.250, 0.250) and H at (0.000, 0.000, 0.500).

---

Model x:
Compound: MnV2H
Source: the Alexandria database
Functional: PBE
Structure: relaxed

The mass density is 6.4 g/cm³. Its density of states at the Fermi level is 0.821 states/eV per atom. The total magnetization comes out at 0.002 μB per formula unit.

The structure belongs to space group P4/mmm (No. 123); the cell edges are 2.732, 2.732 and 5.476 Å and the angles 90.00°, 90.00° and 90.00°. The asymmetric unit holds Mn at (0.000, 0.000, 0.000), V at (0.500, 0.500, 0.276) and H at (0.000, 0.000, 0.500).

---

List of relative energies, unit kJ/mol of atoms: model w 19.6; model x 0.0

---

Model w:
Compound: MnV2H
Source: the Alexandria database
Functional: PBE
Structure: relaxed

The mass density is 4.4 g/cm³. Its density of states at the Fermi level is 1.116 states/eV per atom. The total magnetization comes out at 0.000 μB per formula unit.

The structure belongs to space group R-3m (No. 166, hexagonal axes); the cell edges are 3.5254, 3.5254 and 16.4515 Å and the angles 90.00°, 90.00° and 120.00°. The asymmetric unit holds Mn at (0.0000, 0.0000, 0.0000), V at (0.0000, 0.0000, 0.3939) and H at (0.0000, 0.0000, 0.5000).

---

Model x:
Compound: MnV2H
Source: the Alexandria database
Functional: PBE
Structure: relaxed

The mass density is 6.2 g/cm³. Its density of states at the Fermi level is 0.785 states/eV per atom. The total magnetization comes out at 0.000 μB per formula unit.

The structure belongs to space group I-42d (No. 122); the cell edges are 5.358, 5.358 and 5.860 Å and the angles 90.00°, 90.00° and 90.00°. The asymmetric unit holds Mn at (0.000, 0.000, 0.000), V at (0.179, 0.250, 0.625) and H at (0.000, 0.000, 0.500).

---

List of relative energies, unit kJ/mol of atoms: model w 44.4; model x 0.0

---

Model w:
Compound: MnV2H2
Source: the Alexandria database
Functional: PBE
Structure: relaxed

The mass density is 6.2 g/cm³. Its density of states at the Fermi level is 0.509 states/eV per atom. The total magnetization comes out at 0.000 μB per formula unit.

The structure belongs to space group I4/mmm (No. 139); the cell edges are 2.823, 2.823 and 10.686 Å and the angles 90.00°, 90.00° and 90.00°. The asymmetric unit holds Mn at (0.000, 0.000, 0.000), V at (0.000, 0.000, 0.362) and H at (0.000, 0.500, 0.250).

---

Model x:
Compound: MnV2H2
Source: the Alexandria database
Functional: PBE
Structure: relaxed

The mass density is 6.2 g/cm³. Its density of states at the Fermi level is 0.657 states/eV per atom. The total magnetization comes out at 1.227 μB per formula unit.

The structure belongs to space group P-1 (No. 2); the cell edges are 4.558, 4.802 and 4.809 Å and the angles 98.43°, 117.41° and 106.38°. The asymmetric unit holds Mn at (0.112, 0.270, 0.425), V at (0.249, 0.744, 0.256), V at (0.383, 0.225, 0.074), H at (0.199, 0.495, 0.858) and H at (0.330, 0.981, 0.675).

---

List of relative energies, unit kJ/mol of atoms: model w 0.0; model x 6.9

---

Model w:
Compound: MnV3H
Source: the Alexandria database
Functional: PBE
Structure: relaxed

The mass density is 6.3 g/cm³. Its density of states at the Fermi level is 1.426 states/eV per atom. The total magnetization comes out at 1.228 μB per formula unit.

The structure belongs to space group Pm-3m (No. 221); the cell edges are 3.807, 3.807 and 3.807 Å and the angles 90.00°, 90.00° and 90.00°. The asymmetric unit holds Mn at (0.000, 0.000, 0.000), V at (0.000, 0.500, 0.500) and H at (0.500, 0.500, 0.500).

---

Model x:
Compound: MnV3H
Source: the Alexandria database
Functional: PBE
Structure: relaxed

The mass density is 6.4 g/cm³. Its density of states at the Fermi level is 1.047 states/eV per atom. The total magnetization comes out at 0.000 μB per formula unit.

The structure belongs to space group P2_1/c (No. 14); the cell edges are 6.916, 4.740 and 8.156 Å and the angles 90.00°, 126.04° and 90.00°. The asymmetric unit holds Mn at (0.141, 0.250, 0.070), V at (0.029, 0.530, 0.265), V at (0.338, 0.749, 0.670), V at (0.400, 0.245, 0.450) and H at (0.275, 0.662, 0.886).

---

List of relative energies, unit kJ/mol of atoms: model w 0.8; model x 0.0

---

Model w:
Compound: Mn2HW
Source: the Alexandria database
Functional: PBE
Structure: relaxed

The mass density is 11.7 g/cm³. Its density of states at the Fermi level is 0.632 states/eV per atom. The total magnetization comes out at 1.000 μB per formula unit.

The structure belongs to space group I-42d (No. 122); the cell edges are 4.926, 4.926 and 6.874 Å and the angles 90.00°, 90.00° and 90.00°. The asymmetric unit holds Mn at (0.049, 0.250, 0.125), H at (0.000, 0.000, 0.000) and W at (0.000, 0.000, 0.500).

---

Model x:
Compound: Mn2HW
Source: the Alexandria database
Functional: PBE
Structure: relaxed

The mass density is 7.4 g/cm³. Its density of states at the Fermi level is 0.944 states/eV per atom. The total magnetization comes out at 3.205 μB per formula unit.

The structure belongs to space group R-3m (No. 166, hexagonal axes); the cell edges are 3.8510, 3.8510 and 15.4099 Å and the angles 90.00°, 90.00° and 120.00°. The asymmetric unit holds Mn at (0.0000, 0.0000, 0.1063), H at (0.0000, 0.0000, 0.0000) and W at (0.0000, 0.0000, 0.5000).

---

Model y:
Compound: Mn2HW
Source: the Alexandria database
Functional: PBE
Structure: relaxed

The mass density is 10.5 g/cm³. Its density of states at the Fermi level is 0.571 states/eV per atom. The total magnetization comes out at 2.903 μB per formula unit.

The structure belongs to space group Fm-3m (No. 225); the cell edges are 5.704, 5.704 and 5.704 Å and the angles 90.00°, 90.00° and 90.00°. The asymmetric unit holds Mn at (0.250, 0.250, 0.250), H at (0.000, 0.000, 0.000) and W at (0.000, 0.000, 0.500).

---

List of relative energies, unit kJ/mol of atoms: model w 0.0; model x 73.1; model y 43.5

---

Model w:
Compound: MnH3W
Source: the Alexandria database
Functional: PBE
Structure: relaxed

The mass density is 11.6 g/cm³. Its density of states at the Fermi level is 0.494 states/eV per atom. The total magnetization comes out at 1.717 μB per formula unit.

The structure belongs to space group Pm-3m (No. 221); the cell edges are 3.260, 3.260 and 3.260 Å and the angles 90.00°, 90.00° and 90.00°. The asymmetric unit holds Mn at (0.000, 0.000, 0.000), H at (0.000, 0.000, 0.500) and W at (0.500, 0.500, 0.500).

---

Model x:
Compound: MnH3W
Source: the Alexandria database
Functional: PBE
Structure: relaxed

The mass density is 9.3 g/cm³. Its density of states at the Fermi level is 0.246 states/eV per atom. The total magnetization comes out at 4.011 μB per formula unit.

The structure belongs to space group Pm-3m (No. 221); the cell edges are 3.511, 3.511 and 3.511 Å and the angles 90.00°, 90.00° and 90.00°. The asymmetric unit holds Mn at (0.000, 0.000, 0.000), H at (0.000, 0.500, 0.500) and W at (0.500, 0.500, 0.500).

---

List of relative energies, unit kJ/mol of atoms: model w 0.0; model x 6.4

---

Model w:
Compound: YMnH2
Source: the Alexandria database
Functional: PBE
Structure: relaxed

The mass density is 5.0 g/cm³. Its density of states at the Fermi level is 0.485 states/eV per atom. The total magnetization comes out at 2.019 μB per formula unit.

The structure belongs to space group I-42d (No. 122); the cell edges are 4.474, 4.474 and 9.598 Å and the angles 90.00°, 90.00° and 90.00°. The asymmetric unit holds Y at (0.000, 0.000, 0.000), Mn at (0.000, 0.000, 0.500) and H at (0.156, 0.250, 0.625).

---

Model x:
Compound: YMnH2
Source: the Alexandria database
Functional: PBE
Structure: relaxed

The mass density is 5.0 g/cm³. Its density of states at the Fermi level is 0.677 states/eV per atom. The total magnetization comes out at 3.595 μB per formula unit.

The structure belongs to space group Fm-3m (No. 225); the cell edges are 5.777, 5.777 and 5.777 Å and the angles 90.00°, 90.00° and 90.00°. The asymmetric unit holds Y at (0.000, 0.000, 0.000), Mn at (0.000, 0.000, 0.500) and H at (0.250, 0.250, 0.250).

---

List of relative energies, unit kJ/mol of atoms: model w 0.0; model x 30.5

---

Model w:
Compound: MnZnH
Source: the Alexandria database
Functional: PBE
Structure: relaxed

The mass density is 6.7 g/cm³. Its density of states at the Fermi level is 0.489 states/eV per atom. The total magnetization comes out at 2.559 μB per formula unit.

The structure belongs to space group P3m1 (No. 156); the cell edges are 2.8233, 2.8233 and 4.3476 Å and the angles 90.00°, 90.00° and 120.00°. The asymmetric unit holds Mn at (0.0000, 0.0000, 0.0000), Zn at (0.3333, 0.6667, 0.5185) and H at (0.6667, 0.3333, 0.1150).

---

Model x:
Compound: MnZnH
Source: the Alexandria database
Functional: PBE
Structure: relaxed

The mass density is 6.5 g/cm³. Its density of states at the Fermi level is 0.524 states/eV per atom. The total magnetization comes out at 2.538 μB per formula unit.

The structure belongs to space group I4mm (No. 107); the cell edges are 2.581, 2.581 and 9.351 Å and the angles 90.00°, 90.00° and 90.00°. The asymmetric unit holds Mn at (0.000, 0.000, 0.000), Zn at (0.000, 0.000, 0.284) and H at (0.000, 0.000, 0.540).

---

List of relative energies, unit kJ/mol of atoms: model w 0.0; model x 12.9

---

Model w:
Compound: Mn2ZnH
Source: the Alexandria database
Functional: PBE
Structure: relaxed

The mass density is 5.9 g/cm³. Its density of states at the Fermi level is 0.889 states/eV per atom. The total magnetization comes out at 5.656 μB per formula unit.

The structure belongs to space group I4_1/amd (No. 141, origin choice 2); the cell edges are 5.192, 5.192 and 7.320 Å and the angles 90.00°, 90.00° and 90.00°. The asymmetric unit holds Mn at (0.000, 0.000, 0.000), Zn at (0.000, 0.250, 0.375) and H at (0.000, 0.250, 0.875).

---

Model x:
Compound: Mn2ZnH
Source: the Alexandria database
Functional: PBE
Structure: relaxed

The mass density is 7.5 g/cm³. Its density of states at the Fermi level is 0.781 states/eV per atom. The total magnetization comes out at 1.754 μB per formula unit.

The structure belongs to space group P4/mmm (No. 123); the cell edges are 2.540, 2.540 and 6.050 Å and the angles 90.00°, 90.00° and 90.00°. The asymmetric unit holds Mn at (0.000, 0.000, 0.172), Zn at (0.500, 0.500, 0.500) and H at (0.500, 0.500, 0.000).

---

Model y:
Compound: Mn2ZnH
Source: the Alexandria database
Functional: PBE
Structure: relaxed

The mass density is 6.1 g/cm³. Its density of states at the Fermi level is 0.959 states/eV per atom. The total magnetization comes out at 6.020 μB per formula unit.

The structure belongs to space group R-3m (No. 166, hexagonal axes); the cell edges are 4.4853, 4.4853 and 8.2633 Å and the angles 90.00°, 90.00° and 120.00°. The asymmetric unit holds Mn at (0.0000, 0.0000, 0.1993), Zn at (0.0000, 0.0000, 0.5000) and H at (0.0000, 0.0000, 0.0000).

---

Model z:
Compound: Mn2ZnH
Source: the Alexandria database
Functional: PBE
Structure: relaxed

The mass density is 6.2 g/cm³. Its density of states at the Fermi level is 0.537 states/eV per atom. The total magnetization comes out at 6.245 μB per formula unit.

The structure belongs to space group Fm-3m (No. 225); the cell edges are 5.731, 5.731 and 5.731 Å and the angles 90.00°, 90.00° and 90.00°. The asymmetric unit holds Mn at (0.250, 0.250, 0.250), Zn at (0.000, 0.000, 0.000) and H at (0.000, 0.000, 0.500).

---

List of relative energies, unit kJ/mol of atoms: model w 5.8; model x 0.0; model y 16.7; model z 24.6

---

Model w:
Compound: MnZn2H2
Source: the Alexandria database
Functional: PBE
Structure: relaxed

The mass density is 6.1 g/cm³. Its density of states at the Fermi level is 0.368 states/eV per atom. The total magnetization comes out at 3.411 μB per formula unit.

The structure belongs to space group I4/mmm (No. 139); the cell edges are 2.810, 2.810 and 12.891 Å and the angles 90.00°, 90.00° and 90.00°. The asymmetric unit holds Mn at (0.000, 0.000, 0.000), Zn at (0.000, 0.000, 0.357) and H at (0.000, 0.500, 0.250).

---

Model x:
Compound: MnZn2H2
Source: the Alexandria database
Functional: PBE
Structure: relaxed

The mass density is 6.1 g/cm³. Its density of states at the Fermi level is 0.320 states/eV per atom. The total magnetization comes out at 2.433 μB per formula unit.

The structure belongs to space group P4/mbm (No. 127); the cell edges are 5.221, 5.221 and 3.780 Å and the angles 90.00°, 90.00° and 90.00°. The asymmetric unit holds Mn at (0.000, 0.000, 0.000), Zn at (0.228, 0.272, 0.500) and H at (0.225, 0.275, 0.000).

---

List of relative energies, unit kJ/mol of atoms: model w 19.3; model x 0.0

---

Model w:
Compound: MnZn3H
Source: the Alexandria database
Functional: PBE
Structure: relaxed

The mass density is 7.0 g/cm³. Its density of states at the Fermi level is 0.419 states/eV per atom. The total magnetization comes out at 2.965 μB per formula unit.

The structure belongs to space group Pm-3m (No. 221); the cell edges are 3.911, 3.911 and 3.911 Å and the angles 90.00°, 90.00° and 90.00°. The asymmetric unit holds Mn at (0.000, 0.000, 0.000), Zn at (0.000, 0.500, 0.500) and H at (0.500, 0.500, 0.500).

---

Model x:
Compound: MnZn3H
Source: the Alexandria database
Functional: PBE
Structure: relaxed

The mass density is 3.6 g/cm³. Its density of states at the Fermi level is 0.668 states/eV per atom. The total magnetization comes out at 4.270 μB per formula unit.

The structure belongs to space group Pm-3m (No. 221); the cell edges are 4.878, 4.878 and 4.878 Å and the angles 90.00°, 90.00° and 90.00°. The asymmetric unit holds Mn at (0.000, 0.000, 0.000), Zn at (0.000, 0.000, 0.500) and H at (0.500, 0.500, 0.500).

---

List of relative energies, unit kJ/mol of atoms: model w 0.0; model x 71.1

---

Model w:
Compound: Zr3MnH
Source: the Alexandria database
Functional: PBE
Structure: relaxed

The mass density is 6.7 g/cm³. Its density of states at the Fermi level is 1.375 states/eV per atom. The total magnetization comes out at 0.000 μB per formula unit.

The structure belongs to space group Pm-3m (No. 221); the cell edges are 4.346, 4.346 and 4.346 Å and the angles 90.00°, 90.00° and 90.00°. The asymmetric unit holds Zr at (0.000, 0.000, 0.500), Mn at (0.500, 0.500, 0.500) and H at (0.000, 0.000, 0.000).

---

Model x:
Compound: Zr3MnH
Source: the Alexandria database
Functional: PBE
Structure: relaxed

The mass density is 4.8 g/cm³. Its density of states at the Fermi level is 1.710 states/eV per atom. The total magnetization comes out at 0.002 μB per formula unit.

The structure belongs to space group Pm-3m (No. 221); the cell edges are 4.833, 4.833 and 4.833 Å and the angles 90.00°, 90.00° and 90.00°. The asymmetric unit holds Zr at (0.000, 0.000, 0.500), Mn at (0.000, 0.000, 0.000) and H at (0.500, 0.500, 0.500).

---

List of relative energies, unit kJ/mol of atoms: model w 0.0; model x 78.9